Record 1
# ZnBr GGA-PBE optimized geometry
# crystal system: tetragonal
# calculated volume: 299.0 Å³ per cell
# SG: No. 136
# VASP energy: -0.1477 Ry/atom
data_ZnBr
_cell_length_a 8.891
_cell_length_b 8.891
_cell_length_c 3.783
_cell_angle_alpha 90.00
_cell_angle_beta 90.00
_cell_angle_gamma 90.00
_symmetry_space_group_name_H-M 'P 1'
_symmetry_Int_Tables_number 1
loop_
_symmetry_equiv_pos_as_xyz
'x,y,z'
loop_
_atom_site_label
_atom_site_fract_x
_atom_site_fract_y
_atom_site_fract_z
_atom_site_occupancy
Zn1 0.093 0.093 0.000 1
Zn2 0.407 0.593 0.500 1
Zn3 0.593 0.407 0.500 1
Zn4 0.907 0.907 0.000 1
Br1 0.223 0.223 0.500 1
Br2 0.277 0.723 0.000 1
Br3 0.723 0.277 0.000 1
Br4 0.777 0.777 0.500 1

Record 2
# KTaMn2 GGA-PBE optimized geometry
# formation enthalpy at 0 K: 887 meV/atom
# crystal system: monoclinic
# calculated volume: 96.3 Å³ per cell
# SG: No. 12
data_KTaMn2
_cell_length_a 4.829
_cell_length_b 4.829
_cell_length_c 7.082
_cell_angle_alpha 96.34
_cell_angle_beta 96.34
_cell_angle_gamma 35.96
_symmetry_space_group_name_H-M 'P 1'
_symmetry_Int_Tables_number 1
loop_
_symmetry_equiv_pos_as_xyz
'x,y,z'
loop_
_atom_site_label
_atom_site_fract_x
_atom_site_fract_y
_atom_site_fract_z
_atom_site_occupancy
K1 0.000 0.000 0.000 1
Ta1 0.500 0.500 0.500 1
Mn1 0.233 0.233 0.597 1
Mn2 0.767 0.767 0.403 1

Record 3
# MgTl3Hg6 GGA-PBE optimized geometry
# formation enthalpy at 0 K: -35 meV/atom
# crystal system: monoclinic
# calculated volume: 556.0 Å³ per cell
# SG: No. 11
data_MgTl3Hg6
_cell_length_a 10.926
_cell_length_b 4.448
_cell_length_c 12.105
_cell_angle_alpha 90.00
_cell_angle_beta 109.07
_cell_angle_gamma 90.00
_symmetry_space_group_name_H-M 'P 1'
_symmetry_Int_Tables_number 1
loop_
_symmetry_equiv_pos_as_xyz
'x,y,z'
loop_
_atom_site_label
_atom_site_fract_x
_atom_site_fract_y
_atom_site_fract_z
_atom_site_occupancy
Mg1 0.054 0.250 0.342 1
Mg2 0.946 0.750 0.658 1
Tl1 0.276 0.250 0.065 1
Tl2 0.282 0.750 0.800 1
Tl3 0.449 0.250 0.631 1
Tl4 0.551 0.750 0.369 1
Tl5 0.718 0.250 0.200 1
Tl6 0.724 0.750 0.935 1
Hg1 0.064 0.750 0.925 1
Hg2 0.107 0.250 0.617 1
Hg3 0.127 0.750 0.205 1
Hg4 0.225 0.750 0.498 1
Hg5 0.336 0.250 0.347 1
Hg6 0.495 0.750 0.094 1
Hg7 0.505 0.250 0.906 1
Hg8 0.664 0.750 0.653 1
Hg9 0.775 0.250 0.502 1
Hg10 0.873 0.250 0.795 1
Hg11 0.893 0.750 0.383 1
Hg12 0.936 0.250 0.075 1

Record 4
# MnAsIr GGA-PBE optimized geometry
# formation enthalpy at 0 K: 61 meV/atom
# crystal system: tetragonal
# calculated volume: 45.2 Å³ per cell
# SG: No. 107
data_MnAsIr
_cell_length_a 5.499
_cell_length_b 5.499
_cell_length_c 5.499
_cell_angle_alpha 148.52
_cell_angle_beta 148.52
_cell_angle_gamma 45.11
_symmetry_space_group_name_H-M 'P 1'
_symmetry_Int_Tables_number 1
loop_
_symmetry_equiv_pos_as_xyz
'x,y,z'
loop_
_atom_site_label
_atom_site_fract_x
_atom_site_fract_y
_atom_site_fract_z
_atom_site_occupancy
Mn1 0.000 0.000 0.000 1
As1 0.328 0.328 0.000 1
Ir1 0.672 0.672 0.000 1

Record 5
# Pm4POsBr2 GGA-PBE optimized geometry
# crystal system: monoclinic
# calculated volume: 226.7 Å³ per cell
# SG: No. 10
# VASP energy: -0.4367 Ry/atom
data_Pm4POsBr2
_cell_length_a 7.410
_cell_length_b 4.094
_cell_length_c 7.778
_cell_angle_alpha 90.00
_cell_angle_beta 106.12
_cell_angle_gamma 90.00
_symmetry_space_group_name_H-M 'P 1'
_symmetry_Int_Tables_number 1
loop_
_symmetry_equiv_pos_as_xyz
'x,y,z'
loop_
_atom_site_label
_atom_site_fract_x
_atom_site_fract_y
_atom_site_fract_z
_atom_site_occupancy
Pm1 0.224 0.000 0.199 1
Pm2 0.256 0.500 0.806 1
Pm3 0.744 0.500 0.194 1
Pm4 0.776 0.000 0.801 1
P1 0.500 0.000 0.000 1
Os1 0.000 0.500 0.000 1
Br1 0.000 0.000 0.500 1
Br2 0.500 0.500 0.500 1

Record 6
# CdGePt GGA-PBE optimized geometry
# formation enthalpy at 0 K: -262 meV/atom
# crystal system: monoclinic
# calculated volume: 120.0 Å³ per cell
# SG: No. 11
data_CdGePt
_cell_length_a 5.014
_cell_length_b 4.403
_cell_length_c 5.771
_cell_angle_alpha 90.00
_cell_angle_beta 109.62
_cell_angle_gamma 90.00
_symmetry_space_group_name_H-M 'P 1'
_symmetry_Int_Tables_number 1
loop_
_symmetry_equiv_pos_as_xyz
'x,y,z'
loop_
_atom_site_label
_atom_site_fract_x
_atom_site_fract_y
_atom_site_fract_z
_atom_site_occupancy
Cd1 0.169 0.250 0.414 1
Cd2 0.831 0.750 0.586 1
Ge1 0.379 0.750 0.129 1
Ge2 0.621 0.250 0.871 1
Pt1 0.139 0.250 0.902 1
Pt2 0.861 0.750 0.098 1

Record 7
# Pt2Rh GGA-PBE optimized geometry
# formation enthalpy at 0 K: 43 meV/atom
# crystal system: orthorhombic
# calculated volume: 91.9 Å³ per cell
# SG: No. 63
data_Pt2Rh
_cell_length_a 7.342
_cell_length_b 7.342
_cell_length_c 4.617
_cell_angle_alpha 90.00
_cell_angle_beta 90.00
_cell_angle_gamma 158.32
_symmetry_space_group_name_H-M 'P 1'
_symmetry_Int_Tables_number 1
loop_
_symmetry_equiv_pos_as_xyz
'x,y,z'
loop_
_atom_site_label
_atom_site_fract_x
_atom_site_fract_y
_atom_site_fract_z
_atom_site_occupancy
Pt1 0.054 0.946 0.750 1
Pt2 0.277 0.723 0.250 1
Pt3 0.723 0.277 0.750 1
Pt4 0.946 0.054 0.250 1
Rh1 0.389 0.611 0.750 1
Rh2 0.611 0.389 0.250 1

Record 8
# RbHfTl2Sn GGA-PBE optimized geometry
# formation enthalpy at 0 K: 1155 meV/atom
# crystal system: tetragonal
# calculated volume: 219.5 Å³ per cell
# SG: No. 123
data_RbHfTl2Sn
_cell_length_a 5.819
_cell_length_b 5.819
_cell_length_c 6.483
_cell_angle_alpha 90.00
_cell_angle_beta 90.00
_cell_angle_gamma 90.00
_symmetry_space_group_name_H-M 'P 1'
_symmetry_Int_Tables_number 1
loop_
_symmetry_equiv_pos_as_xyz
'x,y,z'
loop_
_atom_site_label
_atom_site_fract_x
_atom_site_fract_y
_atom_site_fract_z
_atom_site_occupancy
Rb1 0.000 0.000 0.000 1
Hf1 0.500 0.500 0.000 1
Tl1 0.000 0.500 0.500 1
Tl2 0.500 0.000 0.500 1
Sn1 0.000 0.000 0.500 1

Record 9
# CSe2SBr GGA-PBE optimized geometry
# crystal system: tetragonal
# calculated volume: 119.5 Å³ per cell
# SG: No. 123
# VASP energy: -0.1858 Ry/atom
data_CSe2SBr
_cell_length_a 4.950
_cell_length_b 4.950
_cell_length_c 4.879
_cell_angle_alpha 90.00
_cell_angle_beta 90.00
_cell_angle_gamma 90.00
_symmetry_space_group_name_H-M 'P 1'
_symmetry_Int_Tables_number 1
loop_
_symmetry_equiv_pos_as_xyz
'x,y,z'
loop_
_atom_site_label
_atom_site_fract_x
_atom_site_fract_y
_atom_site_fract_z
_atom_site_occupancy
C1 0.000 0.000 0.000 1
Se1 0.000 0.500 0.500 1
Se2 0.500 0.000 0.500 1
S1 0.500 0.500 0.500 1
Br1 0.500 0.500 0.000 1

Record 10
# Y4InAg GGA-PBE optimized geometry
# formation enthalpy at 0 K: -265 meV/atom
# crystal system: tetragonal
# calculated volume: 169.1 Å³ per cell
# SG: No. 123
data_Y4InAg
_cell_length_a 3.605
_cell_length_b 3.605
_cell_length_c 13.010
_cell_angle_alpha 90.00
_cell_angle_beta 90.00
_cell_angle_gamma 90.00
_symmetry_space_group_name_H-M 'P 1'
_symmetry_Int_Tables_number 1
loop_
_symmetry_equiv_pos_as_xyz
'x,y,z'
loop_
_atom_site_label
_atom_site_fract_x
_atom_site_fract_y
_atom_site_fract_z
_atom_site_occupancy
Y1 0.000 0.000 0.144 1
Y2 0.000 0.000 0.856 1
Y3 0.500 0.500 0.341 1
Y4 0.500 0.500 0.659 1
In1 0.000 0.000 0.500 1
Ag1 0.500 0.500 0.000 1

Record 11
# Ho2Ga4PdRh3 GGA-PBE optimized geometry
# formation enthalpy at 0 K: -790 meV/atom
# crystal system: tetragonal
# calculated volume: 181.1 Å³ per cell
# SG: No. 115
data_Ho2Ga4PdRh3
_cell_length_a 4.177
_cell_length_b 4.177
_cell_length_c 10.382
_cell_angle_alpha 90.00
_cell_angle_beta 90.00
_cell_angle_gamma 90.00
_symmetry_space_group_name_H-M 'P 1'
_symmetry_Int_Tables_number 1
loop_
_symmetry_equiv_pos_as_xyz
'x,y,z'
loop_
_atom_site_label
_atom_site_fract_x
_atom_site_fract_y
_atom_site_fract_z
_atom_site_occupancy
Ho1 0.000 0.500 0.248 1
Ho2 0.500 0.000 0.752 1
Ga1 0.000 0.000 0.500 1
Ga2 0.000 0.500 0.868 1
Ga3 0.500 0.000 0.132 1
Ga4 0.500 0.500 0.500 1
Pd1 0.500 0.500 0.000 1
Rh1 0.000 0.000 0.000 1
Rh2 0.000 0.500 0.635 1
Rh3 0.500 0.000 0.365 1

Record 12
# CaBe4As GGA-PBE optimized geometry
# formation enthalpy at 0 K: 370 meV/atom
# crystal system: cubic
# calculated volume: 82.0 Å³ per cell
# SG: No. 216
data_CaBe4As
_cell_length_a 4.877
_cell_length_b 4.877
_cell_length_c 4.877
_cell_angle_alpha 60.00
_cell_angle_beta 60.00
_cell_angle_gamma 60.00
_symmetry_space_group_name_H-M 'P 1'
_symmetry_Int_Tables_number 1
loop_
_symmetry_equiv_pos_as_xyz
'x,y,z'
loop_
_atom_site_label
_atom_site_fract_x
_atom_site_fract_y
_atom_site_fract_z
_atom_site_occupancy
Ca1 0.000 0.000 0.000 1
Be1 0.371 0.371 0.371 1
Be2 0.371 0.371 0.888 1
Be3 0.371 0.888 0.371 1
Be4 0.888 0.371 0.371 1
As1 0.750 0.750 0.750 1